## TiGa2F2 (PBE-GGA)

Data for a relaxed TiGa2F2 crystal.

a = 3.308 Å, b = 3.308 Å, c = 6.943 Å
α = 76.22°, β = 76.22°, γ = 90.00°
Last column: magnetic moment on the atom in μB.
Atoms (fractional coordinates):
1 F 0.250 0.750 0.500  0.03
2 F 0.750 0.250 0.500  0.03
3 Ga 0.365 0.365 0.270  0.03
4 Ti 0.000 0.000 0.000  0.76
5 Ga 0.635 0.635 0.730  0.03



## CaLaZn2Si2 (PBE-GGA)

Data for a relaxed CaLaZn2Si2 crystal.

a = 4.235 Å, b = 4.235 Å, c = 8.485 Å
α = 90.00°, β = 90.00°, γ = 120.00°
Atoms (fractional coordinates):
1 Ca 0.000 0.000 0.500
2 La 0.000 0.000 0.000
3 Si 0.667 0.333 0.750
4 Si 0.333 0.667 0.250
5 Zn 0.333 0.667 0.751
6 Zn 0.667 0.333 0.249



## La4SbMo (PBE-GGA)

Data for a relaxed La4SbMo crystal.

a = 6.346 Å, b = 6.346 Å, c = 6.346 Å
α = 60.00°, β = 60.00°, γ = 60.00°
Last column: magnetic moment on the atom in μB.
Atoms (fractional coordinates):
1 La 0.376 0.872 0.376  -0.14
2 Sb 0.000 0.000 0.000  0.03
3 Mo 0.750 0.750 0.750  2.29
4 La 0.376 0.376 0.376  -0.14
5 La 0.376 0.376 0.872  -0.14
6 La 0.872 0.376 0.376  -0.14



Number 1: raw formation energy -1.004 eV per atom, total magnetization 1.17 μB per formula unit. Number 2: raw formation energy -0.549 eV per atom, total magnetization 0.00 μB per formula unit. Number 3: raw formation energy 0.566 eV per atom, total magnetization 1.85 μB per formula unit.